! SCAN CdAg2, PBEsol geometry; values from VASP
! - Total energy: -279.66 eV per cell
! - Energy of formation from the pure elements: -24.2 meV per atom
! - Space group: P-62m
&SYSTEM
  ibrav = 0, nat = 9, ntyp = 2
/
ATOMIC_SPECIES
Cd 112.41 Cd.upf
Ag 107.87 Ag.upf
CELL_PARAMETERS angstrom
7.8669 0.0000 0.0000
-3.9334 6.8129 0.0000
0.0000 0.0000 2.9570
ATOMIC_POSITIONS angstrom
Cd 0.0000 0.0000 0.0000
Cd 0.0000 4.5420 1.4785
Cd 3.9334 2.2710 1.4785
Ag -1.4243 2.4669 0.0000
Ag -2.7342 4.7358 1.4785
Ag 1.1992 2.0771 1.4785
Ag 2.8486 0.0000 0.0000
Ag 2.5092 4.3460 0.0000
Ag 5.4685 0.0000 1.4785